(a)
Compound: ErPaBi
Source: Alexandria via LeMat-Bulk
Functional: PBE-GGA
Structure: relaxed

Results
Space group: No. 107
D(E_F) in states/eV per cell: 5.831
Calculated density in g/cm3: 11.6

Cell lengths 3.9468, 3.9468, 6.2244 Å; angles 108.48, 108.48, 90.00 degrees
Last column: nearest neighbours and their distance in Å.
Atoms (fractional coordinates):
Pa1 0.9406 0.9406 0.8813  4 Bi 3.32, 5 Er 3.45-3.50
Bi1 0.2792 0.2792 0.5583  4 Er 3.25, 4 Pa 3.32
Er1 0.6302 0.6302 0.2604  4 Bi 3.25, 5 Pa 3.45-3.50

(b)
Compound: ErPaBi
Source: Alexandria via LeMat-Bulk
Functional: PBE-GGA
Structure: relaxed

Results
Space group: No. 156
D(E_F) in states/eV per cell: 6.206
Calculated density in g/cm3: 11.6

Cell lengths 3.4041, 5.4205, 5.4205 Å; angles 120.00, 90.00, 90.00 degrees
Last column: nearest neighbours and their distance in Å.
Atoms (fractional coordinates):
Pa1 0.0514 0.0000 0.0000  3 Bi 3.32, 2 Pa 3.40, 6 Er 3.53-3.60
Bi1 0.3743 0.3333 0.6667  3 Er 3.20, 3 Pa 3.32, 2 Bi 3.40
Er1 0.5743 0.6667 0.3333  3 Bi 3.20, 2 Er 3.40, 3 Pa 3.53

(c)
Compound: ErPaBi
Source: Alexandria via LeMat-Bulk
Functional: PBE-GGA
Structure: relaxed

Results
Space group: No. 194
D(E_F) in states/eV per cell: 14.281
Calculated density in g/cm3: 12.5

Cell lengths 6.2989, 5.4463, 9.4362 Å; angles 90.00, 90.00, 90.00 degrees
Last column: nearest neighbours and their distance in Å.
Atoms (fractional coordinates):
Er1 0.7500 0.2500 0.5832  5 Bi 3.14-3.15, 6 Pa 3.52
Er2 0.2500 0.7500 0.4168  5 Bi 3.14-3.15, 6 Pa 3.52
Er3 0.7500 0.7500 0.0832  5 Bi 3.14-3.15, 6 Pa 3.52
Er4 0.2500 0.2500 0.9168  5 Bi 3.14-3.15, 6 Pa 3.52
Pa1 0.0000 0.2500 0.2500  2 Pa 3.15, 6 Bi 3.52, 6 Er 3.52
Pa2 0.5000 0.7500 0.7500  2 Pa 3.15, 6 Bi 3.52, 6 Er 3.52
Pa3 0.0000 0.7500 0.7500  2 Pa 3.15, 6 Bi 3.52, 6 Er 3.52
Pa4 0.5000 0.2500 0.2500  2 Pa 3.15, 6 Bi 3.52, 6 Er 3.52
Bi1 0.7500 0.2500 0.9165  5 Er 3.14-3.15, 6 Pa 3.52
Bi2 0.2500 0.7500 0.0835  5 Er 3.14-3.15, 6 Pa 3.52
Bi3 0.7500 0.7500 0.4165  5 Er 3.14-3.15, 6 Pa 3.52
Bi4 0.2500 0.2500 0.5835  5 Er 3.14-3.15, 6 Pa 3.52

The winner here is (c), beating the second structure by 0.225 eV/atom.

(a)
Compound: Er4BiPd
Source: Alexandria via LeMat-Bulk
Functional: PBE-GGA
Structure: relaxed

Results
Space group: No. 62
D(E_F) in states/eV per cell: 25.305
Calculated density in g/cm3: 10.1

Cell lengths 4.0188, 8.3162, 19.4350 Å; angles 90.00, 90.00, 90.00 degrees
Last column: nearest neighbours and their distance in Å.
Atoms (fractional coordinates):
Er1 0.7500 0.8729 0.6521  2 Pd 2.88, 1 Bi 3.20
Er2 0.2500 0.1271 0.3479  2 Pd 2.88, 1 Bi 3.20
Er3 0.2500 0.6271 0.1521  2 Pd 2.88, 1 Bi 3.20
Er4 0.7500 0.3729 0.8479  2 Pd 2.88, 1 Bi 3.20
Er5 0.7500 0.8517 0.4479  3 Pd 2.94-3.07
Er6 0.2500 0.1483 0.5521  3 Pd 2.94-3.07
Er7 0.2500 0.6483 0.9479  3 Pd 2.94-3.07
Er8 0.7500 0.3517 0.0521  3 Pd 2.94-3.07
Er9 0.7500 0.0232 0.9330  2 Pd 2.94, 1 Bi 3.25
Er10 0.2500 0.9768 0.0670  2 Pd 2.94, 1 Bi 3.25
Er11 0.2500 0.4768 0.4330  2 Pd 2.94, 1 Bi 3.25
Er12 0.7500 0.5232 0.5670  2 Pd 2.94, 1 Bi 3.25
Er13 0.7500 0.9487 0.2131  4 Bi 3.26, 6 Er 3.49-3.62, 1 Pd 3.63
Er14 0.2500 0.0513 0.7869  4 Bi 3.26, 6 Er 3.49-3.62, 1 Pd 3.63
Er15 0.2500 0.5513 0.7131  4 Bi 3.26, 6 Er 3.49-3.62, 1 Pd 3.63
Er16 0.7500 0.4487 0.2869  4 Bi 3.26, 6 Er 3.49-3.62, 1 Pd 3.63
Bi1 0.7500 0.7495 0.8140  9 Er 3.20-3.39
Bi2 0.2500 0.2505 0.1860  9 Er 3.20-3.39
Bi3 0.2500 0.7505 0.3140  9 Er 3.20-3.39
Bi4 0.7500 0.2495 0.6860  9 Er 3.20-3.39
Pd1 0.7500 0.2208 0.4462  7 Er 2.88-3.07
Pd2 0.2500 0.7792 0.5538  7 Er 2.88-3.07
Pd3 0.2500 0.2792 0.9462  7 Er 2.88-3.07
Pd4 0.7500 0.7208 0.0538  7 Er 2.88-3.07

(b)
Compound: Er4BiPd
Source: Alexandria via LeMat-Bulk
Functional: PBE-GGA
Structure: relaxed

Results
Space group: No. 15
D(E_F) in states/eV per cell: 14.056
Calculated density in g/cm3: 9.9

Cell lengths 5.8994, 8.5969, 8.1227 Å; angles 115.01, 102.01, 107.05 degrees
Last column: nearest neighbours and their distance in Å.
Atoms (fractional coordinates):
Er1 0.0486 0.2021 0.8426  2 Pd 2.91-2.97, 1 Bi 3.26
Er2 0.7766 0.7089 0.6385  2 Pd 2.98-3.04, 2 Bi 3.22-3.32
Er3 0.2941 0.6405 0.8426  2 Pd 2.91-2.97, 1 Bi 3.26
Er4 0.3619 0.9296 0.6385  2 Pd 2.98-3.04, 2 Bi 3.22-3.32
Er5 0.6381 0.0704 0.3615  2 Pd 2.98-3.04, 2 Bi 3.22-3.32
Er6 0.7059 0.3595 0.1574  2 Pd 2.91-2.97, 1 Bi 3.26
Er7 0.2234 0.2911 0.3615  2 Pd 2.98-3.04, 2 Bi 3.22-3.32
Er8 0.9514 0.7979 0.1574  2 Pd 2.91-2.97, 1 Bi 3.26
Bi1 0.3704 0.6204 0.2407  8 Er 3.22-3.36
Bi2 0.6296 0.3796 0.7593  8 Er 3.22-3.36
Pd1 0.2483 0.9983 0.9967  8 Er 2.91-3.04, 2 Pd 2.95
Pd2 0.7517 0.0017 0.0033  8 Er 2.91-3.04, 2 Pd 2.95

The winner here is (a), beating the second structure by 0.075 eV/atom.

(a)
Compound: ErBiPd6
Source: Alexandria via LeMat-Bulk
Functional: PBE-GGA
Structure: relaxed

Results
Space group: No. 12
D(E_F) in states/eV per cell: 3.899
Calculated density in g/cm3: 10.6

Cell lengths 4.9817, 4.9817, 7.3508 Å; angles 74.38, 74.38, 67.45 degrees
Last column: nearest neighbours and their distance in Å.
Atoms (fractional coordinates):
Er1 0.5000 0.5000 0.5000  10 Pd 2.83-3.06
Bi1 0.0000 0.0000 0.0000  6 Pd 2.72-2.83
Pd1 0.0602 0.5391 0.3020  5 Pd 2.65-2.89, 1 Bi 2.72, 2 Er 2.83-2.86
Pd2 0.5391 0.0602 0.3020  5 Pd 2.65-2.89, 1 Bi 2.72, 2 Er 2.83-2.86
Pd3 0.4609 0.9398 0.6980  5 Pd 2.65-2.89, 1 Bi 2.72, 2 Er 2.83-2.86
Pd4 0.9398 0.4609 0.6980  5 Pd 2.65-2.89, 1 Bi 2.72, 2 Er 2.83-2.86
Pd5 0.3547 0.3547 0.9395  7 Pd 2.82-3.13, 3 Bi 2.83-3.11, 1 Er 3.06
Pd6 0.6453 0.6453 0.0605  7 Pd 2.82-3.13, 3 Bi 2.83-3.11, 1 Er 3.06

(b)
Compound: ErBiPd6
Source: Alexandria via LeMat-Bulk
Functional: PBE-GGA
Structure: relaxed

Results
Space group: No. 123
D(E_F) in states/eV per cell: 3.696
Calculated density in g/cm3: 12.0

Cell lengths 4.1088, 4.1088, 8.2845 Å; angles 90.00, 90.00, 90.00 degrees
Last column: nearest neighbours and their distance in Å.
Atoms (fractional coordinates):
Er1 0.0000 0.0000 0.5000  12 Pd 2.90-2.91
Bi1 0.0000 0.0000 0.0000  12 Pd 2.91-2.93
Pd1 0.5000 0.5000 0.0000  4 Bi 2.91, 8 Pd 2.93
Pd2 0.5000 0.5000 0.5000  8 Pd 2.90, 4 Er 2.91
Pd3 0.5000 0.0000 0.2522  8 Pd 2.90-2.93, 2 Er 2.90, 2 Bi 2.93
Pd4 0.5000 0.0000 0.7478  8 Pd 2.90-2.93, 2 Er 2.90, 2 Bi 2.93
Pd5 0.0000 0.5000 0.2522  2 Er 2.90, 8 Pd 2.90-2.93, 2 Bi 2.93
Pd6 0.0000 0.5000 0.7478  2 Er 2.90, 8 Pd 2.90-2.93, 2 Bi 2.93

The winner here is (b), beating the second structure by 0.281 eV/atom.

(a)
Compound: Er2BiPd
Source: Alexandria via LeMat-Bulk
Functional: PBE-GGA
Structure: relaxed

Results
Space group: No. 123
D(E_F) in states/eV per cell: 2.372
Calculated density in g/cm3: 10.8

Cell lengths 3.6680, 3.6680, 7.4056 Å; angles 90.00, 90.00, 90.00 degrees
Last column: nearest neighbours and their distance in Å.
Atoms (fractional coordinates):
Bi1 0.5000 0.5000 0.5000  8 Er 3.32, 4 Bi 3.67, 2 Pd 3.70
Pd1 0.5000 0.5000 0.0000  8 Er 3.06
Er1 0.0000 0.0000 0.7799  4 Pd 3.06, 1 Er 3.26, 4 Bi 3.32
Er2 0.0000 0.0000 0.2201  4 Pd 3.06, 1 Er 3.26, 4 Bi 3.32

(b)
Compound: Er2BiPd
Source: Alexandria via LeMat-Bulk
Functional: PBE-GGA
Structure: relaxed

Results
Space group: No. 166
D(E_F) in states/eV per cell: 2.212
Calculated density in g/cm3: 9.8

Cell lengths 4.3244, 4.3244, 7.2196 Å; angles 72.57, 72.57, 60.00 degrees
Last column: nearest neighbours and their distance in Å.
Atoms (fractional coordinates):
Bi1 0.0000 0.0000 0.0000  6 Er 3.15
Pd1 0.5000 0.5000 0.5000  6 Er 2.90
Er1 0.7608 0.7608 0.7175  3 Pd 2.90, 3 Bi 3.15
Er2 0.2392 0.2392 0.2825  3 Pd 2.90, 3 Bi 3.15

The winner here is (a), beating the second structure by 0.012 eV/atom.

(a)
Compound: ErBiPd4
Source: Alexandria via LeMat-Bulk
Functional: PBE-GGA
Structure: relaxed

Results
Space group: No. 12
D(E_F) in states/eV per cell: 3.783
Calculated density in g/cm3: 11.9

Cell lengths 4.9977, 8.9517, 5.0100 Å; angles 90.00, 87.33, 90.00 degrees
Last column: nearest neighbours and their distance in Å.
Atoms (fractional coordinates):
Er1 0.0000 0.0000 0.0000  10 Pd 2.91-2.98
Er2 0.5000 0.5000 0.0000  10 Pd 2.91-2.98
Bi1 0.5000 0.0000 0.5000  10 Pd 2.91-2.98
Bi2 0.0000 0.5000 0.5000  10 Pd 2.91-2.98
Pd1 0.0000 0.6672 0.0000  5 Pd 2.91-2.99, 3 Er 2.91-2.98, 2 Bi 2.92
Pd2 0.5000 0.1672 0.0000  5 Pd 2.91-2.99, 3 Er 2.91-2.98, 2 Bi 2.92
Pd3 0.5000 0.3326 0.5000  5 Pd 2.90-3.00, 3 Bi 2.91-2.98, 2 Er 2.92
Pd4 0.0000 0.8326 0.5000  5 Pd 2.90-3.00, 3 Bi 2.91-2.98, 2 Er 2.92
Pd5 0.0000 0.3328 0.0000  5 Pd 2.91-2.99, 3 Er 2.91-2.98, 2 Bi 2.92
Pd6 0.5000 0.8328 0.0000  5 Pd 2.91-2.99, 3 Er 2.91-2.98, 2 Bi 2.92
Pd7 0.5000 0.6674 0.5000  5 Pd 2.90-3.00, 3 Bi 2.91-2.98, 2 Er 2.92
Pd8 0.0000 0.1674 0.5000  5 Pd 2.90-3.00, 3 Bi 2.91-2.98, 2 Er 2.92

(b)
Compound: ErBiPd4
Source: Alexandria via LeMat-Bulk
Functional: PBE-GGA
Structure: relaxed

Results
Space group: No. 216
D(E_F) in states/eV per cell: 5.402
Calculated density in g/cm3: 11.7

Cell lengths 5.4348, 5.4348, 5.4348 Å; angles 60.00, 60.00, 60.00 degrees
Last column: nearest neighbours and their distance in Å.
Atoms (fractional coordinates):
Bi1 0.0000 0.0000 0.0000  12 Pd 3.19, 4 Er 3.33
Pd1 0.6245 0.6245 0.1266  6 Pd 2.71-2.73
Pd2 0.6245 0.1266 0.6245  6 Pd 2.71-2.73
Pd3 0.6245 0.6245 0.6245  6 Pd 2.71-2.73
Pd4 0.1266 0.6245 0.6245  6 Pd 2.71-2.73
Er1 0.2500 0.2500 0.2500  12 Pd 3.19, 4 Bi 3.33

The winner here is (a), beating the second structure by 0.060 eV/atom.

(a)
Compound: ErBi2Pd7
Source: Alexandria via LeMat-Bulk
Functional: PBE-GGA
Structure: relaxed

Results
Space group: No. 139
D(E_F) in states/eV per cell: 3.255
Calculated density in g/cm3: 11.2

Cell lengths 4.0750, 4.0750, 12.2308 Å; angles 99.59, 99.59, 90.00 degrees
Last column: nearest neighbours and their distance in Å.
Atoms (fractional coordinates):
Er1 0.0000 0.0000 0.0000  12 Pd 2.88-2.90
Bi1 0.6678 0.6678 0.3355  8 Pd 2.80-2.82
Bi2 0.3322 0.3322 0.6645  8 Pd 2.80-2.82
Pd1 0.0870 0.5870 0.1741  2 Bi 2.80, 6 Pd 2.88-2.90, 2 Er 2.90
Pd2 0.4130 0.9130 0.8259  2 Bi 2.80, 6 Pd 2.88-2.90, 2 Er 2.90
Pd3 0.5870 0.0870 0.1741  2 Bi 2.80, 6 Pd 2.88-2.90, 2 Er 2.90
Pd4 0.5000 0.5000 0.0000  4 Er 2.88, 8 Pd 2.90
Pd5 0.7500 0.2500 0.5000  4 Bi 2.82, 4 Pd 2.88
Pd6 0.9130 0.4130 0.8259  2 Bi 2.80, 6 Pd 2.88-2.90, 2 Er 2.90
Pd7 0.2500 0.7500 0.5000  4 Bi 2.82, 4 Pd 2.88

(b)
Compound: ErBi2Pd7
Source: Alexandria via LeMat-Bulk
Functional: PBE-GGA
Structure: relaxed

Results
Space group: No. 65
D(E_F) in states/eV per cell: 3.678
Calculated density in g/cm3: 9.8

Cell lengths 4.0883, 8.2377, 8.2377 Å; angles 125.82, 90.00, 90.00 degrees
Last column: nearest neighbours and their distance in Å.
Atoms (fractional coordinates):
Er1 0.0000 0.0000 0.0000  10 Pd 2.85
Bi1 0.5000 0.6884 0.3116  5 Pd 2.67-2.76
Bi2 0.5000 0.3116 0.6884  5 Pd 2.67-2.76
Pd1 0.0000 0.8054 0.1946  2 Bi 2.67, 4 Pd 2.84, 1 Er 2.85
Pd2 0.0000 0.1946 0.8054  2 Bi 2.67, 4 Pd 2.84, 1 Er 2.85
Pd3 0.5000 0.0854 0.2817  1 Bi 2.72, 5 Pd 2.75-2.88, 2 Er 2.85
Pd4 0.5000 0.9146 0.7183  1 Bi 2.72, 5 Pd 2.75-2.88, 2 Er 2.85
Pd5 0.5000 0.2817 0.0854  1 Bi 2.72, 5 Pd 2.75-2.88, 2 Er 2.85
Pd6 0.5000 0.7183 0.9146  1 Bi 2.72, 5 Pd 2.75-2.88, 2 Er 2.85
Pd7 0.5000 0.5000 0.5000  2 Bi 2.76, 4 Pd 2.78

The winner here is (a), beating the second structure by 0.282 eV/atom.